Record 1
Computed, not measured: a crystal of Li3SnBi relaxed with PBEsol at the meta-GGA SCAN level of DFT.

## Properties
As for the energy of formation: 0.0428 eV per atom. The electronic total energy comes out at -24.29 eV per atom. The value obtained for the total magnetization is 0.0 Bohr magnetons per cell.

a = 5.0998 Å, b = 5.0998 Å, c = 5.0998 Å
α = 90.00°, β = 90.00°, γ = 90.00°
Fractional coordinates of all 5 atoms:
Li: 0.0000 0.5000 0.0000
Li: 0.0000 0.0000 0.5000
Li: 0.5000 0.0000 0.0000
Bi: 0.0000 0.0000 0.0000
Sn: 0.5000 0.5000 0.5000

Record 2
Computed, not measured: a crystal of SrCoP2 relaxed with PBEsol at the meta-GGA SCAN level of DFT.

## Properties
As for the energy of formation: 0.1785 eV per atom. The electronic total energy comes out at -14.92 eV per atom. The value obtained for the energy above the most stable polymorph in this dataset is 0.360 eV per atom. The value obtained for the total magnetization is 2.4 Bohr magnetons per cell.

a = 3.9465 Å, b = 4.2047 Å, c = 4.2047 Å
α = 90.00°, β = 90.00°, γ = 90.00°
Site moments in Bohr magnetons follow the coordinates.
Fractional coordinates of all 4 atoms:
Co: 0.5000 0.0000 0.0000  2.16
P: 0.0000 0.0000 0.5000  0.05
P: 0.0000 0.5000 0.0000  0.05
Sr: 0.5000 0.5000 0.5000  0.01